Density functional theory data (PBE) for a relaxed ScAl2Ga2 crystal.

Structure (POSCAR):
```
ScAl2Ga2
1.0
0.593 -1.787 3.494
3.309 -3.723 -0.211
3.599 2.584 2.965
Al Sc Ga
2 1 2
direct
0.403 0.795 0.400
0.597 0.205 0.600
0.000 0.000 0.000
0.192 0.407 0.210
0.808 0.593 0.790
```

Computed properties:
* V: 89.37 Å³ per cell
* final energy: -4.22 eV/atom
* space-group type: C2/m (12)
* E_form: -249.2 meV/atom

Density functional theory data (PBE) for a relaxed Zn2OsPt crystal.

Structure (POSCAR):
```
Zn2OsPt
1.0
2.748 -0.014 0.000
-1.272 2.436 0.000
0.000 0.000 8.818
Zn Os Pt
2 1 1
direct
0.000 0.000 0.500
0.000 0.000 0.000
0.500 0.500 0.250
0.500 0.500 0.750
```

Computed properties:
* V: 58.87 Å³ per cell
* final energy: -4.96 eV/atom
* space-group type: Cmmm (65)
* E_form: -7.3 meV/atom

Density functional theory data (PBE) for a relaxed Sn2Hg4Se5 crystal.

Structure (POSCAR):
```
Sn2Hg4Se5
1.0
-3.456 -1.421 -2.127
-0.067 -4.005 -1.561
-8.956 -8.294 15.747
Hg Se Sn
4 5 2
direct
0.584 0.584 0.249
0.684 0.684 0.948
0.316 0.316 0.052
0.416 0.416 0.751
0.225 0.225 0.326
0.500 0.500 0.500
0.372 0.372 0.884
0.628 0.628 0.116
0.775 0.775 0.674
0.863 0.863 0.412
0.137 0.137 0.588
```

Computed properties:
* V: 316.43 Å³ per cell
* final energy: -2.60 eV/atom
* space-group type: R-3m (166)
* energy relative to the elements, uncorrected: -0.18 eV per atom

no.,size of the total moment (μB/atom)
1,0.0000
2,0.0002
3,0.0000